6
Lattice="4.347 0.000 0.000 2.174 3.765 0.000 2.174 1.255 3.550" Properties=species:S:1:pos:R:3 comment="PBE Be4GaRu, relaxed" total_energy_ev_per_cell=-28.87 spacegroup=F-43m crystal_system=cubic e_form_ev_per_atom=-0.276 pbc="T T T"
Be 4.347 1.270 2.213
Be 3.274 3.130 2.213
Be 4.347 2.510 0.460
Be 5.421 3.130 2.213
Ru 2.174 1.255 0.887
Ga 0.000 0.000 0.000